Li3MnCu | GGA-PBE | optimized geometry

Values from the calculation:
Symmetry: Pm-3m (221)
Uncorrected energy (eV per cell): -14.314
Magnetic moment (μB/cell): 3.77

Cell and atoms, written as extended XYZ:
```
5
Lattice="4.7104 0.0000 0.0000 0.0000 4.7104 0.0000 0.0000 0.0000 4.7104" Properties=species:S:1:pos:R:3 pbc="T T T"
Li 0.0000 0.0000 2.3552
Li 0.0000 2.3552 0.0000
Li 2.3552 0.0000 0.0000
Mn 0.0000 0.0000 0.0000
Cu 2.3552 2.3552 2.3552
```

=====

Li2MnCu | GGA-PBE | optimized geometry

Values from the calculation:
Symmetry: P4/mmm (123)
Uncorrected energy (eV per cell): -16.280
Magnetic moment (μB/cell): 3.83

Cell and atoms, written as extended XYZ:
```
4
Lattice="3.6464 0.0000 0.0000 0.0000 3.6464 0.0000 0.0000 0.0000 4.2658" Properties=species:S:1:pos:R:3 pbc="T T T"
Li 0.0000 1.8232 0.0000
Li 1.8232 0.0000 0.0000
Mn 0.0000 0.0000 2.1329
Cu 1.8232 1.8232 2.1329
```

=====

Li2MnCu | GGA-PBE | optimized geometry

Values from the calculation:
Symmetry: Fm-3m (225)
Uncorrected energy (eV per cell): -63.881
Magnetic moment (μB/cell): 14.48

Cell and atoms, written as extended XYZ:
```
16
Lattice="6.0230 0.0000 0.0000 0.0000 6.0230 0.0000 0.0000 0.0000 6.0230" Properties=species:S:1:pos:R:3 pbc="T T T"
Li 1.5057 1.5057 1.5057
Li 1.5057 1.5057 4.5172
Li 1.5057 4.5172 1.5057
Li 1.5057 4.5172 4.5172
Li 4.5172 1.5057 1.5057
Li 4.5172 1.5057 4.5172
Li 4.5172 4.5172 1.5057
Li 4.5172 4.5172 4.5172
Mn 0.0000 0.0000 0.0000
Mn 0.0000 3.0115 3.0115
Mn 3.0115 0.0000 3.0115
Mn 3.0115 3.0115 0.0000
Cu 0.0000 0.0000 3.0115
Cu 0.0000 3.0115 0.0000
Cu 3.0115 0.0000 0.0000
Cu 3.0115 3.0115 3.0115
```